Run w
First-principles (GGA-PBE) data for an optimized crystal structure of LaHf2Sb2, as listed in Alexandria.

Cell lengths 8.2403, 8.2403, 3.7101 Å; angles 90.00, 90.00, 90.00 degrees
With the nearest neighbours (Å) after each atom.
Atoms (fractional coordinates):
Sb1 0.8589 0.6411 0.0000  6 Hf 3.01-3.10, 2 La 3.18, 1 Sb 3.29
Sb2 0.6411 0.1411 0.0000  6 Hf 3.01-3.10, 2 La 3.18, 1 Sb 3.29
Sb3 0.3589 0.8589 0.0000  6 Hf 3.01-3.10, 2 La 3.18, 1 Sb 3.29
Sb4 0.1411 0.3589 0.0000  6 Hf 3.01-3.10, 2 La 3.18, 1 Sb 3.29
Hf1 0.8537 0.3537 0.5000  6 Sb 3.01-3.10
Hf2 0.1463 0.6463 0.5000  6 Sb 3.01-3.10
Hf3 0.6463 0.8537 0.5000  6 Sb 3.01-3.10
Hf4 0.3537 0.1463 0.5000  6 Sb 3.01-3.10
La1 0.0000 0.0000 0.0000  4 Sb 3.18
La2 0.5000 0.5000 0.0000  4 Sb 3.18



Run x
First-principles (GGA-PBE) data for an optimized crystal structure of LaHf2Sb2, as listed in Alexandria.

Cell lengths 4.3170, 4.3170, 7.7313 Å; angles 73.79, 73.79, 90.00 degrees
With the nearest neighbours (Å) after each atom.
Atoms (fractional coordinates):
Hf1 0.7500 0.2500 0.5000  4 Sb 2.93, 4 Hf 3.05
Hf2 0.2500 0.7500 0.5000  4 Sb 2.93, 4 Hf 3.05
Sb1 0.6105 0.6105 0.7791  4 Hf 2.93, 1 Sb 3.14
Sb2 0.3895 0.3895 0.2209  4 Hf 2.93, 1 Sb 3.14
La1 0.0000 0.0000 0.0000  8 Sb 3.43



Result of the stability comparison: run w is the least stable of them.



Run w
First-principles (GGA-PBE) data for an optimized crystal structure of LaHfSbTe2, as listed in Alexandria.

Cell lengths 5.4889, 5.4889, 5.5748 Å; angles 90.00, 90.00, 90.00 degrees
With the nearest neighbours (Å) after each atom.
Atoms (fractional coordinates):
Te1 0.5000 0.0000 0.0000  2 Hf 2.74
Te2 0.0000 0.5000 0.0000  2 Hf 2.74
Sb1 0.0000 0.0000 0.5000  2 Hf 2.79
La1 0.5000 0.5000 0.5000  4 Sb 3.88, 8 Te 3.91
Hf1 0.0000 0.0000 0.0000  4 Te 2.74, 2 Sb 2.79



Run x
First-principles (GGA-PBE) data for an optimized crystal structure of LaHfSbTe2, as listed in Alexandria.

Cell lengths 5.9445, 5.9445, 5.9731 Å; angles 90.00, 90.00, 90.00 degrees
With the nearest neighbours (Å) after each atom.
Atoms (fractional coordinates):
Hf1 0.5000 0.5000 0.5000  4 Sb 4.20, 8 Te 4.21
Te1 0.0000 0.5000 0.0000  2 La 2.97
Te2 0.5000 0.0000 0.0000  2 La 2.97
Sb1 0.0000 0.0000 0.5000  2 La 2.99
La1 0.0000 0.0000 0.0000  4 Te 2.97, 2 Sb 2.99



Result of the stability comparison: run x is the least stable of them.



Run w
First-principles (GGA-PBE) data for an optimized crystal structure of LaHfTiSb, as listed in Alexandria.

Cell lengths 3.3391, 5.0793, 6.5721 Å; angles 95.78, 90.03, 109.18 degrees
With the nearest neighbours (Å) after each atom.
Atoms (fractional coordinates):
Hf1 0.3576 0.8421 0.9985  3 Ti 2.69-2.88
Sb1 0.0885 0.3031 0.2345  2 Ti 2.89, 3 Hf 3.06-3.15
Ti1 0.6178 0.3633 0.8828  3 Hf 2.69-2.88, 2 Sb 2.89
La1 0.8326 0.7927 0.5348  1 Ti 3.24, 3 Sb 3.31-3.35, 2 La 3.34, 2 Hf 3.46



Run x
First-principles (GGA-PBE) data for an optimized crystal structure of LaHfTiSb, as listed in Alexandria.

Cell lengths 5.4513, 3.2649, 5.7144 Å; angles 90.00, 106.07, 90.00 degrees
With the nearest neighbours (Å) after each atom.
Atoms (fractional coordinates):
La1 0.7817 0.0000 0.9956  1 Ti 2.72
Hf1 0.4197 0.5000 0.4017  2 Sb 2.98-3.02, 2 Ti 3.03, 2 Hf 3.26
Ti1 0.9044 0.0000 0.4911  1 La 2.72, 2 Sb 2.89, 2 Hf 3.03
Sb1 0.2436 0.5000 0.8586  2 Ti 2.89, 2 Hf 2.98-3.02



Result of the stability comparison: run w is the least stable of them.